(1)
Material: NbNiAg3
Method: DFT, PBE-GGA
State: relaxed

Energy of formation (eV per atom): 1.115
Spin magnetization (μB/f.u.): 3.5
Symmetry: No. 221

Cell: 4.7001 4.7001 4.7001 Å, 90.00 90.00 90.00°
Last column: magnetic moment on the atom in μB.
Positions (direct):
Nb: 0.5000 0.5000 0.5000  2.24
Ag: 0.0000 0.5000 0.0000  0.03
Ag: 0.5000 0.0000 0.0000  0.04
Ni: 0.0000 0.0000 0.0000  0.56
Ag: 0.0000 0.0000 0.5000  -0.01

***

(2)
Material: BaEu2Er
Method: DFT, PBE-GGA
State: relaxed

Energy of formation (eV per atom): 0.197
Spin magnetization (μB/f.u.): 14.5
Symmetry: No. 123

Cell: 4.3409 6.2176 6.2176 Å, 90.00 90.00 90.00°
Last column: magnetic moment on the atom in μB.
Positions (direct):
Eu: 0.0000 0.5000 0.0000  -6.88
Er: 0.5000 0.5000 0.5000  -0.08
Eu: 0.0000 0.0000 0.5000  -6.88
Ba: 0.5000 0.0000 0.0000  -0.03

***

(3)
Material: LaPuMnSi2
Method: DFT, PBE-GGA
State: relaxed

Spin magnetization (μB/f.u.): 2.5
Symmetry: No. 119
ΔE_f (raw) (meV per atom): -339

Cell: 4.2756 4.2756 6.6235 Å, 108.83 108.83 90.00°
Last column: magnetic moment on the atom in μB.
Positions (direct):
La: 0.0000 0.0000 0.0000  0.10
Pu: 0.2500 0.7500 0.5000  5.20
Mn: 0.7500 0.2500 0.5000  -3.14
Si: 0.6005 0.6005 0.2010  0.00
Si: 0.3995 0.3995 0.7990  0.00

***

(4)
Material: ZrPaGaO6
Method: DFT, PBE-GGA
State: relaxed

Spin magnetization (μB/f.u.): 0.0
Symmetry: No. 163
ΔE_f (raw) (meV per atom): -2940

Cell: 5.2706 5.2706 9.6941 Å, 90.00 90.00 120.00°
Positions (direct):
Zr: 0.6667 0.3333 0.2500
O: 0.9859 0.3331 0.6334
Pa: 0.0000 0.0000 0.0000
O: 0.0141 0.3472 0.1334
O: 0.6669 0.6528 0.6334
O: 0.3331 0.3472 0.3666
O: 0.6528 0.6669 0.1334
Zr: 0.3333 0.6667 0.7500
Pa: 0.0000 0.0000 0.5000
O: 0.3472 0.3331 0.8666
Ga: 0.3333 0.6667 0.2500
O: 0.0141 0.6669 0.3666
O: 0.6669 0.0141 0.8666
Ga: 0.6667 0.3333 0.7500
O: 0.3331 0.9859 0.1334
O: 0.9859 0.6528 0.8666
O: 0.3472 0.0141 0.6334
O: 0.6528 0.9859 0.3666

***

(5)
Material: CeNd2PuAs4
Method: DFT, PBE-GGA
State: relaxed

Energy of formation (eV per atom): -1.369
Spin magnetization (μB/f.u.): 5.7
Symmetry: No. 10

Cell: 4.2253 7.3125 7.3257 Å, 109.51 90.00 90.00°
Last column: magnetic moment on the atom in μB.
Positions (direct):
Nd: 0.5000 0.0000 0.5000  0.03
Ce: 0.5000 0.5000 0.0000  0.53
As: 0.0000 0.7482 0.2422  -0.04
Nd: 0.0000 0.5000 0.5000  0.02
As: 0.5000 0.7549 0.7596  -0.07
As: 0.5000 0.2451 0.2404  -0.07
As: 0.0000 0.2518 0.7578  -0.04
Pu: 0.0000 0.0000 0.0000  5.09

***

(6)
Material: LiPrGdSn
Method: DFT, PBE-GGA
State: relaxed

Energy of formation (eV per atom): -0.431
Spin magnetization (μB/f.u.): 7.6
Symmetry: No. 216

Cell: 5.3578 5.3578 5.3578 Å, 60.00 60.00 60.00°
Last column: magnetic moment on the atom in μB.
Positions (direct):
Li: 0.7500 0.7500 0.7500  0.01
Gd: 0.0000 0.0000 0.0000  7.17
Pr: 0.5000 0.5000 0.5000  0.10
Sn: 0.2500 0.2500 0.2500  -0.05

***

(7)
Material: Mn2CrReH
Method: DFT, PBE-GGA
State: relaxed

Spin magnetization (μB/f.u.): 1.9
Symmetry: No. 123
VASP energy (eV/cell): -43.2

Cell: 3.6807 3.6807 3.8379 Å, 90.00 90.00 90.00°
Last column: magnetic moment on the atom in μB.
Positions (direct):
Mn: 0.0000 0.5000 0.0000  1.53
Re: 0.0000 0.0000 0.5000  -0.07
Mn: 0.5000 0.0000 0.0000  1.53
Cr: 0.5000 0.5000 0.5000  -1.12
H: 0.0000 0.0000 0.0000  -0.01

***

(8)
Material: Pm4Cl3O4
Method: DFT, PBE-GGA
State: relaxed

Spin magnetization (μB/f.u.): 0.0
Symmetry: No. 71
ΔE_f (raw) (meV per atom): -2675

Cell: 3.6626 7.7967 8.0017 Å, 119.16 103.23 90.00°
Positions (direct):
Cl: 0.8910 0.8910 0.7820
Cl: 0.0000 0.5000 0.0000
Cl: 0.1090 0.1090 0.2180
O: 0.6611 0.4811 0.3222
Pm: 0.2158 0.7158 0.4315
Pm: 0.7842 0.2842 0.5685
Pm: 0.5000 0.7680 0.0000
O: 0.6611 0.8411 0.3222
O: 0.3389 0.5189 0.6778
O: 0.3389 0.1589 0.6778
Pm: 0.5000 0.2320 0.0000

***

The highest spin magnetization belongs to which entry?
BaEu2Er

***

Which value of spin magnetization does entry 4 give?
0.0 μB/f.u.

***

Please write out number 7 again, unchanged.
Material: Mn2CrReH
Method: DFT, PBE-GGA
State: relaxed

Spin magnetization (μB/f.u.): 1.9
Symmetry: No. 123
VASP energy (eV/cell): -43.2

Cell: 3.6807 3.6807 3.8379 Å, 90.00 90.00 90.00°
Last column: magnetic moment on the atom in μB.
Positions (direct):
Mn: 0.0000 0.5000 0.0000  1.53
Re: 0.0000 0.0000 0.5000  -0.07
Mn: 0.5000 0.0000 0.0000  1.53
Cr: 0.5000 0.5000 0.5000  -1.12
H: 0.0000 0.0000 0.0000  -0.01